Record 1
CsAg3Bi2: relaxed, PBE-GGA.

The calculation puts the formation energy at -0.39 eV per formula unit.

The space group is C2/m (No. 12) and the conventional cell measures 18.2201, 4.9254 and 8.8600 Å, with angles of 90.00, 111.29 and 90.00 degrees. The distinct sites, in fractional coordinates, are Cs at (0.1614, 0.0000, 0.0766), Ag at (0.0120, 0.0000, 0.3488), Ag at (0.0785, 0.5000, 0.6317), Ag at (0.1954, 0.5000, 0.4693), Bi at (0.0322, 0.5000, 0.1936) and Bi at (0.1698, 0.0000, 0.6374).


Record 2
Ni4OsRu: relaxed, PBE-GGA.

The calculation puts the formation energy at 1.15 eV per formula unit.

The space group is F-43m (No. 216) and the conventional cell measures 6.5759, 6.5759 and 6.5759 Å, with angles of 90.00, 90.00 and 90.00 degrees. The distinct sites, in fractional coordinates, are Ni at (0.1250, 0.1250, 0.1250), Os at (0.2500, 0.2500, 0.7500) and Ru at (0.0000, 0.0000, 0.5000).


Record 3
Tb8BeTe4Se3: relaxed, PBE-GGA.

As for the formation energy from raw total energies: -1.35 eV per atom.

The space group is R-3m (No. 166, hexagonal axes) and the conventional cell measures 8.3841, 8.3841 and 21.2375 Å, with angles of 90.00, 90.00 and 120.00 degrees. The distinct sites, in fractional coordinates, are Tb at (0.0000, 0.0000, 0.2404), Tb at (0.0183, 0.5091, 0.2386), Be at (0.0000, 0.0000, 0.5000), Te at (0.0000, 0.0000, 0.0000), Te at (0.0000, 0.5000, 0.0000) and Se at (0.0000, 0.5000, 0.5000).


Record 4
NaCa2CdPd: relaxed, PBE-GGA.

The calculation puts the formation energy at -1.42 eV per formula unit.

The space group is P4/mmm (No. 123) and the conventional cell measures 5.5536, 5.5536 and 5.3281 Å, with angles of 90.00, 90.00 and 90.00 degrees. The distinct sites, in fractional coordinates, are Na at (0.0000, 0.0000, 0.0000), Ca at (0.0000, 0.5000, 0.5000), Cd at (0.5000, 0.5000, 0.0000) and Pd at (0.5000, 0.5000, 0.5000).


Record 5
CuOsCl2: relaxed, PBE-GGA.

The offset from the most stable computed form comes out at 860 meV per atom. As for the formation energy from raw total energies: 1.08 eV per atom.

The space group is Fm-3m (No. 225) and the conventional cell measures 6.2376, 6.2376 and 6.2376 Å, with angles of 90.00, 90.00 and 90.00 degrees. The distinct sites, in fractional coordinates, are Cu at (0.0000, 0.0000, 0.0000), Os at (0.0000, 0.0000, 0.5000) and Cl at (0.2500, 0.2500, 0.2500).


Record 6
Cs2ZrI6Br: relaxed, PBE-GGA.

The offset from the most stable computed form comes out at 0 meV per atom. As for the formation energy from raw total energies: -1.09 eV per atom.

The space group is P1 (No. 1) and the conventional cell measures 8.3820, 8.6094 and 9.2837 Å, with angles of 88.30, 63.58 and 61.42 degrees. The distinct sites, in fractional coordinates, are Cs at (0.0000, 0.0000, 0.0000), Cs at (0.0534, 0.4150, 0.4393), Zr at (0.5243, 0.7111, 0.1996), I at (0.0875, 0.9143, 0.4219), I at (0.4918, 0.9984, 0.0258), I at (0.5415, 0.5103, 0.9512), I at (0.5634, 0.4299, 0.3825), I at (0.6092, 0.8786, 0.4048), I at (0.9790, 0.5342, 0.0250) and Br at (0.2444, 0.2067, 0.7127).


Record 7
BaCdCu: relaxed, PBE-GGA.

The calculation puts the formation energy at -0.40 eV per formula unit.

The space group is P-6m2 (No. 187) and the conventional cell measures 4.7844, 4.7844 and 4.5622 Å, with angles of 90.00, 90.00 and 120.00 degrees. The distinct sites, in fractional coordinates, are Ba at (0.0000, 0.0000, 0.0000), Cd at (0.6667, 0.3333, 0.5000) and Cu at (0.3333, 0.6667, 0.5000).


Record 8
In2SiGeC: relaxed, PBE-GGA.

As for the formation energy from raw total energies: 0.84 eV per atom.

The space group is P4/mmm (No. 123) and the conventional cell measures 5.6313, 5.6313 and 3.4229 Å, with angles of 90.00, 90.00 and 90.00 degrees. The distinct sites, in fractional coordinates, are In at (0.0000, 0.5000, 0.0000), Si at (0.0000, 0.0000, 0.0000), Ge at (0.5000, 0.5000, 0.5000) and C at (0.0000, 0.0000, 0.5000).


Let's list density of states at the Fermi level in order: 11.54; 28.31; 25.50; 1.33; 12.99; 3.39; 2.78; 2.84 states/eV/cell.
Let's list final energy in order: -17.56; -42.48; -85.45; -12.85; -14.69; -32.15; -7.33; -20.55 eV/f.u..
Let's list calculated density in order: 7.840; 12.288; 7.814; 3.253; 8.886; 3.884; 5.752; 5.238 g cm⁻³.